Entry from Alexandria: an optimized crystal structure of Na3InS (PBE).

Properties
E (Ry/atom): -0.13428
Space-group type: Pm-3m (221)
Uncorrected formation energy (meV per atom): 337.6

Cell lengths 5.691, 5.691, 5.691 Å; angles 90.00, 90.00, 90.00 degrees
Fractional positions:
1 Na 0.000 0.500 0.000
2 Na 0.000 0.000 0.500
3 Na 0.500 0.000 0.000
4 In 0.000 0.000 0.000
5 S 0.500 0.500 0.500

***

Entry from Alexandria: an optimized crystal structure of NaIn2S2 (PBE).

Properties
E (Ry/atom): -0.25215
Space-group type: P4/mbm (127)
Uncorrected formation energy (meV per atom): -420.6

Cell lengths 8.055, 8.055, 3.928 Å; angles 90.00, 90.00, 90.00 degrees
Fractional positions:
1 In 0.627 0.873 0.500
2 In 0.127 0.627 0.500
3 In 0.873 0.373 0.500
4 In 0.373 0.127 0.500
5 S 0.782 0.718 0.000
6 S 0.218 0.282 0.000
7 S 0.718 0.218 0.000
8 S 0.282 0.782 0.000
9 Na 0.500 0.500 0.000
10 Na 0.000 0.000 0.000

***

Entry from Alexandria: an optimized crystal structure of NaIn3S5 (PBE).

Properties
E (Ry/atom): -0.29676
Space-group type: Pbam (55)
Uncorrected formation energy (meV per atom): -685.3

Cell lengths 3.848, 12.644, 16.353 Å; angles 90.00, 90.00, 90.00 degrees
Fractional positions:
1 S 0.500 0.584 0.859
2 S 0.000 0.364 0.945
3 S 0.500 0.916 0.359
4 S 0.000 0.864 0.555
5 S 0.500 0.669 0.246
6 S 0.500 0.639 0.475
7 S 0.500 0.139 0.025
8 S 0.000 0.924 0.157
9 S 0.500 0.361 0.525
10 S 0.500 0.861 0.975
11 S 0.500 0.331 0.754
12 S 0.000 0.076 0.843
13 S 0.500 0.084 0.641
14 S 0.500 0.831 0.746
15 S 0.000 0.424 0.343
16 S 0.000 0.636 0.055
17 S 0.500 0.169 0.254
18 S 0.500 0.416 0.141
19 S 0.000 0.136 0.445
20 S 0.000 0.576 0.657
21 In 0.000 0.538 0.197
22 In 0.500 0.708 0.622
23 In 0.000 0.962 0.697
24 In 0.500 0.500 0.000
25 In 0.500 0.208 0.878
26 In 0.000 0.462 0.803
27 In 0.500 0.792 0.122
28 In 0.500 0.000 0.500
29 In 0.000 0.500 0.500
30 In 0.500 0.292 0.378
31 In 0.000 0.000 0.000
32 In 0.000 0.038 0.303
33 Na 0.000 0.748 0.373
34 Na 0.000 0.252 0.627
35 Na 0.000 0.248 0.127
36 Na 0.000 0.752 0.873

***

Entry from Alexandria: an optimized crystal structure of Na2InS (PBE).

Properties
E (Ry/atom): -0.19855
Space-group type: Fm-3m (225)
Uncorrected formation energy (meV per atom): -325.5

Cell lengths 5.162, 5.162, 5.162 Å; angles 60.00, 60.00, 60.00 degrees
Fractional positions:
1 Na 0.250 0.250 0.250
2 Na 0.750 0.750 0.750
3 S 0.000 0.000 0.000
4 In 0.500 0.500 0.500